VASP calculation (PBE) on In2TeRu after structural relaxation.

Calculated values
- Total moment: 0.00 μB per cell
- Crystal system: orthorhombic
- Energy: -35.89 eV per cell

Cell lengths 3.1715, 4.6033, 13.0166 Å; angles 90.00, 90.00, 90.00 degrees
Closest atoms and distances in Å follow each position.
Space group Imm2 (No. 44)
One atom of each set of equivalent atoms:
1 In 0.0000 0.0000 0.0000 x2  2 Ru 2.92, 4 In 3.17-3.25
2 In 0.0000 0.5000 0.1761 x2  4 Ru 2.80
3 Te 0.0000 0.0000 0.3544 x2  2 Ru 2.68
4 Ru 0.0000 0.5000 0.6888 x2  2 Te 2.68, 6 In 2.80-2.92

VASP calculation (PBE) on In2TeRu after structural relaxation.

Calculated values
- Total moment: 0.00 μB per cell
- Crystal system: monoclinic
- Energy: -17.26 eV per cell

Cell lengths 4.0788, 4.3496, 5.5488 Å; angles 90.00, 111.50, 90.00 degrees
Closest atoms and distances in Å follow each position.
Space group Pm (No. 6)
One atom of each set of equivalent atoms:
1 In 0.0000 0.0000 0.0000 x1  3 Te 2.93-3.03, 4 Ru 3.06-3.07
2 In 0.2968 0.5000 0.5996 x1  1 Ru 2.78, 4 Te 3.10
3 Te 0.7134 0.0000 0.4328 x1  2 Ru 2.65, 1 In 2.93
4 Ru 0.5719 0.5000 0.1385 x1  2 Te 2.65, 1 In 2.78

VASP calculation (PBE) on InTe3Ru after structural relaxation.

Calculated values
- Total moment: 0.36 μB per cell
- Crystal system: cubic
- Energy: -19.84 eV per cell

Cell lengths 5.2912, 5.2912, 5.2912 Å; angles 90.00, 90.00, 90.00 degrees
Closest atoms and distances in Å follow each position.
Space group Pm-3m (No. 221)
One atom of each set of equivalent atoms:
1 In 0.0000 0.0000 0.0000 x1  12 Te 3.74
2 Te 0.0000 0.5000 0.5000 x3  2 Ru 2.65
3 Ru 0.5000 0.5000 0.5000 x1  6 Te 2.65

VASP calculation (PBE) on In2TeRu after structural relaxation.

Calculated values
- Total moment: 0.00 μB per cell
- Crystal system: tetragonal
- Energy: -17.37 eV per cell

Cell lengths 3.1982, 3.1982, 9.0819 Å; angles 90.00, 90.00, 90.00 degrees
Closest atoms and distances in Å follow each position.
Space group P4/mmm (No. 123)
One atom of each set of equivalent atoms:
1 In 0.0000 0.0000 0.1783 x2  4 Ru 2.78
2 Te 0.5000 0.5000 0.5000 x1  4 Te 3.20
3 Ru 0.5000 0.5000 0.0000 x1  8 In 2.78